Dy3TiAg3Te8 | GGA-PBE | optimized geometry

Summary:
E   -4.459 eV per atom
E_form (uncorrected)   -0.766 eV/atom
Calculated volume   458.24 Å³/f.u.

Cell: 8.595 8.595 8.726 Å, 119.65 90.00 120.00°
Last column: magnetic moment on the atom in μB.
Positions (direct):
Dy: 0.500 0.000 0.500  0.00
Dy: 0.500 0.500 0.500  0.00
Dy: 0.000 0.500 0.500  0.00
Ti: 0.000 0.000 0.500  -0.09
Ag: 0.000 0.000 0.000  0.00
Ag: 0.000 0.500 0.000  0.00
Ag: 0.500 0.500 0.000  0.00
Te: 0.247 0.494 0.242  0.00
Te: 0.753 0.506 0.758  0.00
Te: 0.766 0.533 0.264  0.00
Te: 0.234 0.467 0.736  0.00
Te: 0.767 0.996 0.264  0.00
Te: 0.233 0.004 0.736  0.00
Te: 0.230 0.996 0.264  0.00
Te: 0.770 0.004 0.736  0.00

---

Tb2Er2AlGa4 | GGA-PBE | optimized geometry

Summary:
E   -4.031 eV per atom
Calculated volume   213.98 Å³/f.u.
Calculated formation energy   -227 meV/atom

Cell: 6.615 6.615 6.615 Å, 96.03 116.58 116.58°
Positions (direct):
Tb: 0.000 0.688 0.688
Tb: 0.000 0.312 0.312
Er: 0.500 0.750 0.250
Er: 0.500 0.250 0.750
Al: 0.000 0.000 0.000
Ga: 0.000 0.749 0.251
Ga: 0.499 0.749 0.749
Ga: 0.000 0.251 0.749
Ga: 0.501 0.251 0.251

---

LiBe2Ir2 | GGA-PBE | optimized geometry

Summary:
E   -5.442 eV per atom
Calculated volume   70.38 Å³/f.u.
Calculated formation energy   -24 meV/atom
E above lowest polymorph   429 meV per atom

Cell: 4.000 4.000 5.230 Å, 67.52 67.52 90.00°
Positions (direct):
Be: 0.750 0.250 0.500
Be: 0.250 0.750 0.500
Ir: 0.363 0.363 0.275
Ir: 0.637 0.637 0.725
Li: 0.000 0.000 0.000

---

AcAlGaPd3 | GGA-PBE | optimized geometry

Summary:
E   -5.103 eV per atom
Calculated volume   125.29 Å³/f.u.
Calculated formation energy   -694 meV/atom

Cell: 5.891 6.728 7.161 Å, 118.02 90.00 90.00°
Positions (direct):
Ac: 0.750 0.283 0.566
Ac: 0.250 0.717 0.434
Al: 0.250 0.980 0.960
Al: 0.750 0.020 0.040
Ga: 0.250 0.376 0.752
Ga: 0.750 0.624 0.248
Pd: 0.250 0.176 0.353
Pd: 0.000 0.291 0.000
Pd: 0.500 0.709 0.000
Pd: 0.500 0.291 0.000
Pd: 0.000 0.709 0.000
Pd: 0.750 0.824 0.647

---

Tb3Np3TaN8 | GGA-PBE | optimized geometry

Summary:
E   -10.030 eV per atom
E_form (uncorrected)   -1.286 eV/atom
Calculated volume   224.02 Å³/f.u.

Cell: 6.784 6.785 6.850 Å, 119.69 90.00 120.00°
Last column: magnetic moment on the atom in μB.
Positions (direct):
Tb: 0.000 0.000 0.000  0.15
Tb: 0.000 0.500 0.000  0.15
Tb: 0.500 0.500 0.000  0.15
Np: 0.500 0.000 0.500  3.15
Np: 0.500 0.500 0.500  3.15
Np: 0.000 0.500 0.500  3.15
Ta: 0.000 0.000 0.500  0.08
N: 0.252 0.503 0.255  -0.11
N: 0.748 0.497 0.745  -0.11
N: 0.776 0.553 0.289  -0.09
N: 0.224 0.447 0.711  -0.09
N: 0.776 0.012 0.289  -0.09
N: 0.224 0.988 0.711  -0.09
N: 0.236 0.012 0.289  -0.09
N: 0.764 0.988 0.711  -0.09

---

LiIn3Ge | GGA-PBE | optimized geometry

Summary:
E   -2.624 eV per atom
Calculated volume   164.00 Å³/f.u.
Calculated formation energy   325 meV/atom
E above lowest polymorph   0 meV per atom

Cell: 5.474 5.474 5.474 Å, 90.00 90.00 90.00°
Positions (direct):
Ge: 0.000 0.000 0.000
Li: 0.500 0.500 0.500
In: 0.000 0.500 0.000
In: 0.000 0.000 0.500
In: 0.500 0.000 0.000

---

Li7B8C8 | GGA-PBE | optimized geometry

Summary:
E   -6.423 eV per atom
Calculated volume   185.76 Å³/f.u.
Calculated formation energy   -310 meV/atom
E above lowest polymorph   2 meV per atom

Cell: 7.668 7.668 9.442 Å, 107.52 107.52 20.58°
Positions (direct):
C: 0.885 0.885 0.279
C: 0.615 0.615 0.971
C: 0.872 0.872 0.771
C: 0.628 0.628 0.479
C: 0.375 0.375 0.024
C: 0.124 0.124 0.727
C: 0.376 0.376 0.523
C: 0.125 0.125 0.226
B: 0.624 0.624 0.141
B: 0.876 0.876 0.109
B: 0.626 0.626 0.646
B: 0.874 0.874 0.604
B: 0.118 0.118 0.893
B: 0.372 0.372 0.855
B: 0.128 0.128 0.395
B: 0.382 0.382 0.357
Li: 0.503 0.503 0.251
Li: 0.497 0.497 0.749
Li: 0.250 0.250 0.625
Li: 0.997 0.997 0.999
Li: 0.748 0.748 0.898
Li: 0.003 0.003 0.501
Li: 0.752 0.752 0.352

---

NdHo2Ag2Pb2 | GGA-PBE | optimized geometry

Summary:
E   -4.175 eV per atom
Calculated volume   185.77 Å³/f.u.
Calculated formation energy   -312 meV/atom

Cell: 4.949 4.949 9.211 Å, 74.42 74.42 60.00°
Positions (direct):
Nd: 0.000 0.000 0.000
Ho: 0.135 0.135 0.596
Ho: 0.865 0.865 0.404
Ag: 0.557 0.557 0.329
Ag: 0.443 0.443 0.671
Pb: 0.735 0.735 0.795
Pb: 0.265 0.265 0.205